Entry 1:
! K2ZnIn3Au4 PBE-GGA relaxed; values from VASP
&SYSTEM
  ibrav = 0, nat = 10, ntyp = 4
/
ATOMIC_SPECIES
Au 196.97 Au.upf
In 114.82 In.upf
Zn 65.41 Zn.upf
K 39.10 K.upf
ATOMIC_POSITIONS crystal
Au 0.0000 0.5000 0.3867
Au 0.0000 0.0000 0.0000
Au 0.5000 0.0000 0.6133
Au 0.5000 0.5000 0.0000
In 0.0000 0.5000 0.1233
In 0.0000 0.0000 0.5000
In 0.5000 0.0000 0.8767
Zn 0.5000 0.5000 0.5000
K 0.5000 0.0000 0.2464
K 0.0000 0.5000 0.7536
CELL_PARAMETERS angstrom
-1.5941 2.1120 4.2181
-4.2978 -2.4857 -0.3796
4.1172 -7.9655 5.5444
! Space-group type: P-4m2
! ΔE_f (eV/atom): -0.28

***

Entry 2:
! K2ZnIn4Au3 PBE-GGA relaxed; values from VASP
&SYSTEM
  ibrav = 0, nat = 10, ntyp = 4
/
ATOMIC_SPECIES
Au 196.97 Au.upf
Zn 65.41 Zn.upf
K 39.10 K.upf
In 114.82 In.upf
ATOMIC_POSITIONS crystal
Au 0.0000 0.5000 0.1302
Au 0.0000 0.0000 0.5000
Au 0.5000 0.0000 0.8698
Zn 0.5000 0.5000 0.5000
K 0.0000 0.5000 0.7419
K 0.5000 0.0000 0.2581
In 0.5000 0.5000 0.0000
In 0.5000 0.0000 0.6231
In 0.0000 0.5000 0.3769
In 0.0000 0.0000 0.0000
CELL_PARAMETERS angstrom
-0.2287 3.5479 3.3890
-4.3817 -1.6742 1.4571
5.0498 -6.7601 7.4179
! Space-group type: P-4m2
! ΔE_f (eV/atom): -0.24

***

Entry 3:
! KZnInAu2 PBE-GGA relaxed; values from VASP
&SYSTEM
  ibrav = 0, nat = 5, ntyp = 4
/
ATOMIC_SPECIES
Au 196.97 Au.upf
In 114.82 In.upf
K 39.10 K.upf
Zn 65.41 Zn.upf
ATOMIC_POSITIONS crystal
Au 0.6180 0.6180 0.2360
Au 0.3820 0.3820 0.7640
In 0.7500 0.2500 0.5000
K 0.0000 0.0000 0.0000
Zn 0.2500 0.7500 0.5000
CELL_PARAMETERS angstrom
-2.6966 3.7197 -0.0971
-3.3544 -2.3781 2.0518
5.1001 0.9714 4.3178
! Energy above the lowest structure with this stoichiometry (meV per atom): 0
! Space-group type: I-4m2
! ΔE_f (eV/atom): -0.26

***

Entry 4:
! KZn2InAu PBE-GGA relaxed; values from VASP
&SYSTEM
  ibrav = 0, nat = 5, ntyp = 4
/
ATOMIC_SPECIES
Au 196.97 Au.upf
Zn 65.41 Zn.upf
K 39.10 K.upf
In 114.82 In.upf
ATOMIC_POSITIONS crystal
Au 0.0000 0.0000 0.0000
Zn 0.0000 0.5000 0.0000
Zn 0.5000 0.0000 0.0000
K 0.5000 0.5000 0.5000
In 0.0000 0.0000 0.5000
CELL_PARAMETERS angstrom
5.0618 0.0000 0.0000
0.0000 5.0618 0.0000
0.0000 0.0000 5.4687
! Space-group type: P4/mmm
! ΔE_f (eV/atom): -0.02

***

Entry 5:
! K2Zn4InAu3 PBE-GGA relaxed; values from VASP
&SYSTEM
  ibrav = 0, nat = 10, ntyp = 4
/
ATOMIC_SPECIES
Au 196.97 Au.upf
K 39.10 K.upf
Zn 65.41 Zn.upf
In 114.82 In.upf
ATOMIC_POSITIONS crystal
Au 0.0000 0.5000 0.1250
Au 0.0000 0.0000 0.5000
Au 0.5000 0.0000 0.8750
K 0.5000 0.0000 0.2407
K 0.0000 0.5000 0.7593
Zn 0.0000 0.5000 0.3566
Zn 0.5000 0.0000 0.6434
Zn 0.0000 0.0000 0.0000
Zn 0.5000 0.5000 0.0000
In 0.5000 0.5000 0.5000
CELL_PARAMETERS angstrom
4.5394 0.0000 0.0000
0.0000 4.5394 0.0000
0.0000 0.0000 11.2982
! Space-group type: P-4m2
! ΔE_f (eV/atom): -0.20

***

Entry 6:
! KZnInAu2 PBE-GGA relaxed; values from VASP
&SYSTEM
  ibrav = 0, nat = 5, ntyp = 4
/
ATOMIC_SPECIES
Au 196.97 Au.upf
Zn 65.41 Zn.upf
In 114.82 In.upf
K 39.10 K.upf
ATOMIC_POSITIONS crystal
Au 0.5000 0.0000 0.0000
Au 0.0000 0.0000 0.5000
Zn 0.5000 0.5000 0.5000
In 0.0000 0.5000 0.0000
K 0.0000 0.0000 0.0000
CELL_PARAMETERS angstrom
-0.4382 5.6325 -1.6448
-6.3753 -0.3650 0.4485
0.3008 1.6687 5.6344
! Energy above the lowest structure with this stoichiometry (meV per atom): 1097
! Space-group type: P4/mmm
! ΔE_f (eV/atom): 0.84